First-principles (PBE) data for a geometry-optimized Ca2MgFe structure, as listed in Alexandria.

```
4
Lattice="5.2195 0.0000 0.0000 2.6098 4.5203 0.0000 2.6098 1.5068 4.2617" Properties=species:S:1:pos:R:3 pbc="T T T"
Ca 0.0000 0.0000 0.0000
Ca 2.6098 1.5068 1.0654
Fe 5.2195 3.0135 2.1309
Mg 7.8293 4.5203 3.1963
```

Results
ΔE_f, eV/atom: 0.43
SG: F-43m (216)
Energy, eV/atom: -3.087
Calculated volume, Å³ per cell: 100.55